#P
BeTl2Zn | SCAN | single point on PBEsol structure

Output
The density of states at the Fermi level is 1.2 states/eV/f.u. As for the space group: R3m (160). As for the magnetic moment: 0.00 μB/atom.

a b c (Å): 3.3377 3.3377 8.5656
angles (deg): 78.77 78.77 60.00
Last column: nearest neighbours and their distance in Å.
Fractional coordinates of all 4 atoms:
Be1 0.2397 0.2397 0.2809  3 Zn 2.37
Tl1 0.9829 0.9829 0.0513  3 Be 2.72
Tl2 0.7596 0.7596 0.7213  3 Zn 3.00, 6 Tl 3.34
Zn1 0.5178 0.5178 0.4465  3 Be 2.37

#Q
BeTl2Zn | SCAN | single point on PBEsol structure

Output
The density of states at the Fermi level is 1.6 states/eV/f.u. As for the space group: Immm (71). As for the magnetic moment: 0.00 μB/atom.

a b c (Å): 4.0533 5.0616 5.0616
angles (deg): 61.68 66.40 66.40
Last column: nearest neighbours and their distance in Å.
Fractional coordinates of all 4 atoms:
Be1 0.0000 0.5000 0.5000  4 Tl 2.69
Tl1 0.2708 0.7292 0.7292  2 Be 2.69, 2 Zn 2.91
Tl2 0.7292 0.2708 0.2708  2 Be 2.69, 2 Zn 2.91
Zn1 0.5000 0.0000 0.0000  8 Tl 2.91-3.14

The energy of each structure relative to the most stable one, in meV per atom, is as follows: #P 0; #Q 148.

#P
BeTlZn2 | SCAN | single point on PBEsol structure

Output
The density of states at the Fermi level is 1.2 states/eV/f.u. As for the space group: P4/mmm (123). As for the magnetic moment: 0.00 μB/atom.

a b c (Å): 2.8913 2.8913 7.8666
angles (deg): 90.00 90.00 90.00
Last column: nearest neighbours and their distance in Å.
Fractional coordinates of all 4 atoms:
Be1 0.5000 0.5000 0.0000  8 Zn 2.47
Tl1 0.5000 0.5000 0.5000  4 Tl 2.89
Zn1 0.0000 0.0000 0.8230  4 Be 2.47
Zn2 0.0000 0.0000 0.1770  4 Be 2.47

#Q
BeTlZn2 | SCAN | single point on PBEsol structure

Output
The density of states at the Fermi level is 1.2 states/eV/f.u. As for the space group: Imm2 (44). As for the magnetic moment: 0.00 μB/atom.

a b c (Å): 2.8460 5.3502 5.3502
angles (deg): 61.39 74.58 74.58
Last column: nearest neighbours and their distance in Å.
Fractional coordinates of all 4 atoms:
Be1 0.4777 0.5223 0.5223  2 Zn 2.33
Tl1 0.2346 0.2654 0.2654  2 Be 2.66, 2 Tl 2.85, 2 Zn 2.88
Zn1 0.0214 0.9786 0.9786  4 Zn 2.57-2.85
Zn2 0.7663 0.7337 0.7337  2 Be 2.33, 2 Zn 2.57

The energy of each structure relative to the most stable one, in meV per atom, is as follows: #P 0; #Q 169.

#P
Zr2BeTl | SCAN | single point on PBEsol structure

Output
The density of states at the Fermi level is 2.6 states/eV/f.u. As for the space group: P4/mmm (123). As for the magnetic moment: 0.00 μB/atom.

a b c (Å): 3.0205 3.0205 8.1437
angles (deg): 90.00 90.00 90.03
Last column: nearest neighbours and their distance in Å.
Fractional coordinates of all 4 atoms:
Be1 0.5000 0.5000 0.2500  8 Zr 2.71-2.72, 4 Be 3.02
Tl1 0.5000 0.5000 0.7500  4 Tl 3.02, 8 Zr 3.21
Zr1 0.0000 0.0000 0.0441  4 Be 2.71-2.72, 4 Zr 3.02
Zr2 0.0000 0.0000 0.4559  4 Be 2.71-2.72, 4 Zr 3.02

#Q
Zr2BeTl | SCAN | single point on PBEsol structure

Output
The density of states at the Fermi level is 3.6 states/eV/f.u. As for the space group: Fm-3m (225). As for the magnetic moment: 0.00 μB/atom.

a b c (Å): 4.7699 4.7699 4.7699
angles (deg): 60.00 60.00 60.00
Last column: nearest neighbours and their distance in Å.
Fractional coordinates of all 4 atoms:
Be1 0.0000 0.0000 0.0000  8 Zr 2.92
Tl1 0.5000 0.5000 0.5000  8 Zr 2.92
Zr1 0.2500 0.2500 0.2500  4 Tl 2.92, 4 Be 2.92
Zr2 0.7500 0.7500 0.7500  4 Be 2.92, 4 Tl 2.92

The energy of each structure relative to the most stable one, in meV per atom, is as follows: #P 0; #Q 145.